# 1
Compound: Ag2TeO
Source: the Open Quantum Materials Database
Functional: PBE-GGA
Structure: relaxed

The calculation puts the excess energy over the best structure of this formula in the dataset at 0.143 eV/atom.

The structure belongs to space group Cmcm (No. 63); the cell edges are 3.525, 14.510 and 5.680 Å and the angles 90.00°, 90.00° and 90.00°. Symmetry generates all atoms from Ag at (0.000, 0.057, 0.250), Ag at (0.000, 0.373, 0.250), Te at (0.000, 0.294, 0.750) and O at (0.000, 0.500, 0.000).

***

# 2
Compound: GdMgCu
Source: the Open Quantum Materials Database
Functional: PBE-GGA
Structure: relaxed

The calculation puts the total energy at -41.76 eV for the cell shown.

The structure belongs to space group Pnma (No. 62); the cell edges are 6.122, 4.799 and 8.690 Å and the angles 90.00°, 90.00° and 90.00°. Symmetry generates all atoms from Gd at (0.191, 0.250, 0.077), Mg at (0.022, 0.250, 0.714) and Cu at (0.204, 0.250, 0.406).

***

# 3
Compound: Tb3SnPd4
Source: the Open Quantum Materials Database
Functional: PBE-GGA
Structure: relaxed

The calculation puts the total energy at -45.43 eV for the cell shown.

The structure belongs to space group Pm (No. 6); the cell edges are 5.543, 4.527 and 6.815 Å and the angles 90.00°, 90.93° and 90.00°. Symmetry generates all atoms from Tb at (0.000, 0.000, 0.000), Tb at (0.221, 0.000, 0.496), Tb at (0.711, 0.500, 0.635), Sn at (0.495, 0.500, 0.147), Pd at (0.009, 0.500, 0.274), Pd at (0.205, 0.500, 0.783), Pd at (0.506, 0.000, 0.884) and Pd at (0.699, 0.000, 0.344).

***

# 4
Compound: Lu4Cu2CN
Source: the Open Quantum Materials Database
Functional: PBE-GGA
Structure: relaxed

The calculation puts the total energy at -47.36 eV for the cell shown.

The structure belongs to space group P-3m1 (No. 164); the cell edges are 3.4593, 3.4593 and 13.6205 Å and the angles 90.00°, 90.00° and 120.00°. Symmetry generates all atoms from Lu at (0.3333, 0.6667, 0.0972), Lu at (0.3333, 0.6667, 0.4029), Cu at (0.3333, 0.6667, 0.7463), C at (0.0000, 0.0000, 0.0000) and N at (0.0000, 0.0000, 0.5000).